First-principles (PBE-GGA) data for crystalline Tb3Y2Tm6Pu at its relaxed geometry, as listed in Alexandria.

```
Tb3Y2Tm6Pu
1.0
3.042 -5.269 0.000
3.042 5.269 0.000
-2.032 0.000 11.409
Tb Y Tm Pu
3 2 6 1
direct
0.000 0.000 0.000 Tb
0.333 0.667 0.000 Tb
0.667 0.333 0.000 Tb
0.167 0.833 0.500 Y
0.833 0.167 0.500 Y
0.088 0.417 0.252 Tm
0.254 0.254 0.749 Tm
0.417 0.088 0.252 Tm
0.583 0.912 0.748 Tm
0.746 0.746 0.251 Tm
0.912 0.583 0.748 Tm
0.500 0.500 0.500 Pu
```

Output
Formation energy = 0.6 eV/f.u.
Magnetic moment = 6.45 Bohr magnetons per cell
Space-group type = C2/m
Raw total energy = -5.618 eV per atom
N(E_F) = 23.9 states/eV/f.u.